# 1
{
  "formula": "Sn2Hg2O7",
  "functional": "GGA-PBE",
  "state": "optimized geometry",
  "cell": [[-3.816, 0.575, 6.478], [-5.656, -4.762, 1.479], [0.806, -5.272, 5.331]],
  "species": ["Sn", "Sn", "Sn", "Sn", "O", "O", "O", "O", "O", "O", "O", "O", "O", "O", "O", "O", "O", "O", "Hg", "Hg", "Hg", "Hg"],
  "frac_coords": [[0.625, 0.125, 0.125], [0.125, 0.125, 0.125], [0.125, 0.625, 0.125], [0.125, 0.125, 0.625], [0.456, 0.044, 0.044], [0.044, 0.456, 0.456], [0.794, 0.206, 0.206], [0.794, 0.206, 0.794], [0.044, 0.456, 0.044], [0.500, 0.500, 0.500], [0.206, 0.794, 0.794], [0.750, 0.750, 0.750], [0.044, 0.044, 0.456], [0.206, 0.794, 0.206], [0.794, 0.794, 0.206], [0.456, 0.456, 0.044], [0.206, 0.206, 0.794], [0.456, 0.044, 0.456], [0.625, 0.625, 0.625], [0.125, 0.625, 0.625], [0.625, 0.125, 0.625], [0.625, 0.625, 0.125]],
  "dos_at_fermi_per_ev_fu": 7.9,
  "magnetic_moment_mub_per_cell": 4.09,
  "rho_g_cm3": 8.2,
  "formation_energy_uncorrected_ev_per_atom": -0.7924,
  "energy_ev_per_atom": -4.7303,
  "crystal_system": "cubic",
  "space_group": "No. 227"
}


# 2
{
  "formula": "SnHgO",
  "functional": "GGA-PBE",
  "state": "optimized geometry",
  "cell": [[3.468, 0.000, 0.000], [-1.734, 11.928, 1.030], [0.000, -2.495, 7.382]],
  "species": ["O", "O", "O", "O", "Hg", "Hg", "Hg", "Hg", "Sn", "Sn", "Sn", "Sn"],
  "frac_coords": [[0.779, 0.559, 0.413], [0.694, 0.388, 0.828], [0.306, 0.612, 0.172], [0.221, 0.441, 0.587], [0.969, 0.938, 0.649], [0.924, 0.849, 0.985], [0.076, 0.151, 0.015], [0.031, 0.062, 0.351], [0.228, 0.456, 0.285], [0.147, 0.294, 0.714], [0.853, 0.706, 0.286], [0.772, 0.544, 0.715]],
  "dos_at_fermi_per_ev_fu": 0.4,
  "magnetic_moment_mub_per_cell": 0.00,
  "rho_g_cm3": 7.1,
  "formation_energy_uncorrected_ev_per_atom": -0.7630,
  "energy_ev_per_atom": -3.8506,
  "crystal_system": "monoclinic",
  "space_group": "No. 12"
}


Number 2 is which compound? SnHgO